Computed, not measured: an optimized crystal structure of NdMgNiPt at the PBE-GGA level of DFT.

a = 6.7755 Å, b = 6.7755 Å, c = 6.7755 Å
α = 90.00°, β = 90.00°, γ = 90.00°
Space group F-43m (No. 216)
Unique sites:
Nd  0.0000  0.0000  0.0000 x4
Mg  0.0000  0.0000  0.5000 x4
Ni  0.2500  0.2500  0.2500 x4
Pt  0.2500  0.2500  0.7500 x4

Values from the calculation:
As for the total magnetic moment: 0.0 μB/f.u. The value obtained for the energy relative to the elements is -52 kJ per mole of atoms. The value obtained for the volume is 19.44 Å³ per atom.



Computed, not measured: an optimized crystal structure of BaBeGa at the PBE-GGA level of DFT.

a = 12.9739 Å, b = 3.9936 Å, c = 6.2554 Å
α = 90.00°, β = 104.76°, γ = 90.00°
Space group Cm (No. 8)
Unique sites:
Ba  0.0000  0.0000  0.0000 x2
Ba  0.1912  0.0000  0.6186 x2
Be  0.3249  0.0000  0.2252 x2
Be  0.4675  0.0000  0.5039 x2
Ga  0.2239  0.5000  0.0918 x2
Ga  0.3865  0.5000  0.4389 x2

Values from the calculation:
As for the total magnetic moment: 0.0 μB/f.u. The value obtained for the energy relative to the elements is -6 kJ per mole of atoms. The value obtained for the volume is 26.12 Å³ per atom.



Computed, not measured: an optimized crystal structure of YTaC2 at the PBE-GGA level of DFT.

a = 3.2754 Å, b = 3.2754 Å, c = 17.4933 Å
α = 90.00°, β = 90.00°, γ = 120.00°
Space group R3m (No. 160, hexagonal axes)
Unique sites:
Y  0.0000  0.0000  0.0000 x3
Ta  0.0000  0.0000  0.1739 x3
C  0.0000  0.0000  0.5762 x3
C  0.0000  0.0000  0.7678 x3

Values from the calculation:
As for the total magnetic moment: 0.0 μB/f.u. The value obtained for the energy relative to the elements is -23 kJ per mole of atoms. The value obtained for the volume is 13.54 Å³ per atom.



Computed, not measured: an optimized crystal structure of Pr3YTh4Se8 at the PBE-GGA level of DFT.

a = 8.3332 Å, b = 8.3332 Å, c = 21.0625 Å
α = 90.00°, β = 90.00°, γ = 120.00°
Space group R-3m (No. 166, hexagonal axes)
Unique sites:
Pr  0.0000  0.5000  0.0000 x9
Y  0.0000  0.0000  0.0000 x3
Th  0.0000  0.0000  0.5000 x3
Th  0.0000  0.5000  0.5000 x9
Se  0.0000  0.0000  0.2496 x6
Se  0.0068  0.5034  0.7487 x18

Values from the calculation:
As for the total magnetic moment: 0.0 μB/f.u. The calculation puts the energy relative to the elements, uncorrected at -1.6730 eV/atom. The value obtained for the volume is 26.39 Å³ per atom.



Computed, not measured: an optimized crystal structure of HfZrAlCd at the PBE-GGA level of DFT.

a = 3.0083 Å, b = 3.0083 Å, c = 8.9492 Å
α = 90.00°, β = 90.00°, γ = 90.00°
Space group P4mm (No. 99)
Unique sites:
Hf  0.0000  0.0000  0.0000 x1
Zr  0.0000  0.0000  0.4516 x1
Al  0.5000  0.5000  0.2235 x1
Cd  0.5000  0.5000  0.7277 x1

Values from the calculation:
As for the total magnetic moment: 0.0 μB/f.u. The value obtained for the energy relative to the elements is -24 kJ per mole of atoms. The value obtained for the volume is 20.25 Å³ per atom.



Computed, not measured: an optimized crystal structure of Na2TlGa at the PBE-GGA level of DFT.

a = 7.4394 Å, b = 7.4394 Å, c = 7.4394 Å
α = 90.00°, β = 90.00°, γ = 90.00°
Space group Fm-3m (No. 225)
Unique sites:
Na  0.2500  0.2500  0.2500 x8
Tl  0.0000  0.0000  0.0000 x4
Ga  0.0000  0.0000  0.5000 x4

Values from the calculation:
As for the total magnetic moment: 0.0 μB/f.u. The value obtained for the energy relative to the elements is -1 kJ per mole of atoms. The value obtained for the volume is 25.73 Å³ per atom.